Record 1
! Sr2AcMg2 GGA-PBE optimized geometry; values from VASP
&SYSTEM
  ibrav = 0, nat = 10, ntyp = 3
/
ATOMIC_SPECIES
Sr 87.62 Sr.upf
Ac 227.00 Ac.upf
Mg 24.30 Mg.upf
CELL_PARAMETERS angstrom
4.1248 0.0000 -0.5533
0.0000 6.0533 0.0000
-0.0152 0.0000 15.5810
ATOMIC_POSITIONS angstrom
Sr 0.1907 4.5400 1.4163
Sr 3.9190 1.5133 13.6114
Sr 0.9529 4.5400 7.1209
Sr 3.1567 1.5133 7.9068
Ac 3.5143 4.5400 10.6061
Ac 0.5953 1.5133 4.4216
Mg 2.6360 4.5400 3.9763
Mg 1.4736 1.5133 11.0514
Mg 1.8372 4.5400 13.7352
Mg 2.2725 1.5133 1.2925
! symmetry: P2_1/m
! calculated volume: 38.90 A^3/atom
! energy of formation from the pure elements: -0.01 eV/atom
! crystal system: monoclinic

***

Record 2
! SrAc3Mg2 GGA-PBE optimized geometry; values from VASP
&SYSTEM
  ibrav = 0, nat = 6, ntyp = 3
/
ATOMIC_SPECIES
Sr 87.62 Sr.upf
Ac 227.00 Ac.upf
Mg 24.30 Mg.upf
CELL_PARAMETERS angstrom
4.1368 0.0000 0.0000
0.0000 4.1368 0.0000
0.0000 0.0000 13.9577
ATOMIC_POSITIONS angstrom
Sr 2.0684 2.0684 6.9789
Ac 0.0000 0.0000 0.0000
Ac 0.0000 0.0000 9.9476
Ac 0.0000 0.0000 4.0101
Mg 2.0684 2.0684 11.9502
Mg 2.0684 2.0684 2.0076
! symmetry: P4/mmm
! calculated volume: 39.81 A^3/atom
! energy of formation from the pure elements: -0.03 eV/atom
! crystal system: tetragonal

***

Record 3
! SrAcMg2 GGA-PBE optimized geometry; values from VASP
&SYSTEM
  ibrav = 0, nat = 4, ntyp = 3
/
ATOMIC_SPECIES
Sr 87.62 Sr.upf
Ac 227.00 Ac.upf
Mg 24.30 Mg.upf
CELL_PARAMETERS angstrom
4.0895 0.0000 0.0000
0.0000 5.9171 0.0000
0.0000 0.0000 5.9171
ATOMIC_POSITIONS angstrom
Sr 2.0447 0.0000 0.0000
Ac 2.0447 2.9585 2.9585
Mg 0.0000 0.0000 2.9585
Mg 0.0000 2.9585 0.0000
! symmetry: P4/mmm
! calculated volume: 35.79 A^3/atom
! energy of formation from the pure elements: -0.07 eV/atom
! crystal system: tetragonal

***

Record 4
! SrAcTbMg GGA-PBE optimized geometry; values from VASP
&SYSTEM
  ibrav = 0, nat = 4, ntyp = 4
/
ATOMIC_SPECIES
Sr 87.62 Sr.upf
Ac 227.00 Ac.upf
Tb 158.93 Tb.upf
Mg 24.30 Mg.upf
CELL_PARAMETERS angstrom
5.9477 0.0000 0.0000
2.9738 5.1508 0.0000
2.9738 1.7169 4.8563
ATOMIC_POSITIONS angstrom
Sr 8.9215 5.1508 3.6422
Ac 5.9477 3.4339 2.4281
Tb 2.9738 1.7169 1.2141
Mg 0.0000 0.0000 0.0000
! symmetry: F-43m
! calculated volume: 37.19 A^3/atom
! energy of formation from the pure elements: 0.18 eV/atom
! crystal system: cubic

***

Record 5
! Sr2Ac3Mg2Tl4 GGA-PBE optimized geometry; values from VASP
&SYSTEM
  ibrav = 0, nat = 11, ntyp = 4
/
ATOMIC_SPECIES
Sr 87.62 Sr.upf
Ac 227.00 Ac.upf
Mg 24.30 Mg.upf
Tl 204.38 Tl.upf
CELL_PARAMETERS angstrom
-1.9157 2.0141 -4.5843
-3.3127 -2.4019 3.4640
-2.5560 13.8252 7.1421
ATOMIC_POSITIONS angstrom
Sr -3.4691 6.4255 1.1378
Sr -4.3153 7.0118 4.8839
Ac -1.9146 10.3559 5.3498
Ac 0.0000 0.0000 0.0000
Ac -0.6414 3.4693 1.7922
Mg -4.6092 12.5923 4.3236
Mg -3.1752 0.8450 1.6981
Tl -2.6680 2.0925 -1.1006
Tl -5.1164 11.3448 7.1223
Tl -4.0650 9.6487 2.8029
Tl -3.7194 3.7886 3.2188
! symmetry: P-3m1
! calculated volume: 35.68 A^3/atom
! energy of formation from the pure elements: -0.23 eV/atom
! crystal system: trigonal

***

Record 6
! SrAcMg2Tl4 GGA-PBE optimized geometry; values from VASP
&SYSTEM
  ibrav = 0, nat = 8, ntyp = 4
/
ATOMIC_SPECIES
Sr 87.62 Sr.upf
Ac 227.00 Ac.upf
Mg 24.30 Mg.upf
Tl 204.38 Tl.upf
CELL_PARAMETERS angstrom
5.4702 0.0000 0.0000
2.7351 4.7373 0.0000
2.7351 1.5791 9.1346
ATOMIC_POSITIONS angstrom
Sr 0.0000 0.0000 0.0000
Ac 5.4702 3.1582 4.5673
Mg 8.2053 4.7373 6.8623
Mg 2.7351 1.5791 2.2723
Tl 5.4702 3.1582 8.0046
Tl 8.2053 4.7373 3.3343
Tl 2.7351 1.5791 5.8003
Tl 5.4702 3.1582 1.1301
! symmetry: R-3m
! calculated volume: 29.59 A^3/atom
! energy of formation from the pure elements: -0.27 eV/atom
! crystal system: trigonal